(1)
The following is a PBE calculation of KTbGe2I8 after structural relaxation, from the Alexandria database.

The formation energy (no corrections) comes out at -0.81 eV/atom. Its uncorrected energy is -37.1 eV/cell. Its space-group type is P-1, No. 2. The magnetization comes out at 0.000 μB/atom.

Cell lengths 7.7505, 7.2559, 9.6381 Å; angles 86.44, 85.35, 85.64 degrees
Positions (direct):
I 0.8420 0.2571 0.2234
I 0.1702 0.7495 0.2221
I 0.1580 0.7429 0.7766
I 0.3223 0.2317 0.9747
I 0.6777 0.7683 0.0253
I 0.3633 0.2754 0.5278
I 0.6367 0.7246 0.4722
I 0.8298 0.2505 0.7779
K 0.0000 0.0000 0.5000
Ge 0.5375 0.5459 0.2557
Ge 0.4625 0.4541 0.7443
Tb 0.0000 0.0000 0.0000



(2)
The following is a PBE calculation of Pr3Al2Cu3 after structural relaxation, from the Alexandria database.

Its uncorrected energy is -145.6 eV/cell. Its formation enthalpy at 0 K is -285 meV per atom. Its space-group type is Pnma, No. 62. The magnetization comes out at 0.000 μB/atom.

Cell lengths 6.4097, 7.5531, 14.9391 Å; angles 90.00, 90.00, 90.00 degrees
Positions (direct):
Pr 0.3559 0.0265 0.3937
Pr 0.8781 0.8825 0.2500
Pr 0.6441 0.9735 0.8937
Pr 0.1441 0.5265 0.3937
Pr 0.6441 0.9735 0.6063
Pr 0.8559 0.4735 0.8937
Pr 0.6219 0.3825 0.2500
Pr 0.1219 0.1175 0.7500
Pr 0.8559 0.4735 0.6063
Pr 0.3559 0.0265 0.1063
Pr 0.1441 0.5265 0.1063
Pr 0.3781 0.6175 0.7500
Al 0.3577 0.3276 0.5924
Al 0.3577 0.3276 0.9076
Al 0.8577 0.1724 0.4076
Al 0.6423 0.6724 0.4076
Al 0.1423 0.8276 0.5924
Al 0.1423 0.8276 0.9076
Al 0.6423 0.6724 0.0924
Al 0.8577 0.1724 0.0924
Cu 0.4227 0.7392 0.2500
Cu 0.4226 0.6372 0.9578
Cu 0.5774 0.3628 0.4578
Cu 0.5773 0.2608 0.7500
Cu 0.9226 0.8628 0.0422
Cu 0.0774 0.1372 0.9578
Cu 0.0774 0.1372 0.5422
Cu 0.9227 0.7608 0.7500
Cu 0.9226 0.8628 0.4578
Cu 0.4226 0.6372 0.5422
Cu 0.0773 0.2392 0.2500
Cu 0.5774 0.3628 0.0422



(3)
The following is a PBE calculation of PuAgBiTe3 after structural relaxation, from the Alexandria database.

The formation energy (no corrections) comes out at -0.42 eV/atom. Its uncorrected energy is -66.0 eV/cell. Its space-group type is P2_1/m, No. 11. The magnetization comes out at 1.002 μB/atom.

Cell lengths 4.3486, 8.8529, 9.8642 Å; angles 99.67, 90.00, 90.00 degrees
Positions (direct):
Te 0.2500 0.0931 0.8824
Te 0.7500 0.9069 0.1176
Te 0.2500 0.7420 0.5072
Te 0.7500 0.2580 0.4928
Te 0.7500 0.3929 0.1483
Te 0.2500 0.6071 0.8517
Bi 0.2500 0.6600 0.1726
Bi 0.7500 0.3400 0.8274
Ag 0.7500 0.9208 0.4169
Ag 0.2500 0.0792 0.5831
Pu 0.7500 0.8396 0.7519
Pu 0.2500 0.1604 0.2481



(4)
The following is a PBE calculation of Ta2MnNi after structural relaxation, from the Alexandria database.

For the distance to the lowest polymorph of the same formula, the calculation gives 72 meV per atom. Its uncorrected energy is -38.9 eV/cell. Its formation enthalpy at 0 K is -69 meV per atom. Its space-group type is P4mm, No. 99. The magnetization comes out at 0.595 μB/atom.

Cell lengths 3.1711, 3.1711, 5.9813 Å; angles 90.00, 90.00, 90.00 degrees
Positions (direct):
Ta 0.5000 0.5000 0.2738
Ta 0.0000 0.0000 0.9745
Ni 0.5000 0.5000 0.7450
Mn 0.0000 0.0000 0.5067



(5)
The following is a PBE calculation of FeWAu after structural relaxation, from the Alexandria database.

For the distance to the lowest polymorph of the same formula, the calculation gives 15 meV per atom. Its uncorrected energy is -23.7 eV/cell. Its formation enthalpy at 0 K is 323 meV per atom. Its space-group type is I4mm, No. 107. The magnetization comes out at 0.774 μB/atom.

Cell lengths 6.3802, 6.3802, 6.3802 Å; angles 155.20, 155.20, 35.36 degrees
Positions (direct):
Au 0.9949 0.9949 0.0000
W 0.6758 0.6758 0.0000
Fe 0.3292 0.3292 0.0000



(6)
The following is a PBE calculation of LiTcPb2W after structural relaxation, from the Alexandria database.

Its uncorrected energy is -24.3 eV/cell. Its formation enthalpy at 0 K is 1670 meV per atom. Its space-group type is P4/mmm, No. 123. The magnetization comes out at 1.174 μB/atom.

Cell lengths 5.3309, 4.9513, 5.3309 Å; angles 90.00, 90.00, 90.00 degrees
Positions (direct):
Pb 0.5000 0.0000 0.0000
Pb 0.0000 0.0000 0.5000
W 0.0000 0.0000 0.0000
Tc 0.5000 0.5000 0.5000
Li 0.0000 0.5000 0.0000



(7)
The following is a PBE calculation of ScGaOs3 after structural relaxation, from the Alexandria database.

For the distance to the lowest polymorph of the same formula, the calculation gives 0 meV per atom. Its uncorrected energy is -37.1 eV/cell. Its formation enthalpy at 0 K is 1187 meV per atom. Its space-group type is Pm-3m, No. 221. The magnetization comes out at 0.071 μB/atom.

Cell lengths 4.5241, 4.5241, 4.5241 Å; angles 90.00, 90.00, 90.00 degrees
Positions (direct):
Sc 0.5000 0.5000 0.5000
Os 0.0000 0.0000 0.5000
Os 0.5000 0.0000 0.0000
Os 0.0000 0.5000 0.0000
Ga 0.0000 0.0000 0.0000



(8)
The following is a PBE calculation of BC2 after structural relaxation, from the Alexandria database.

For the distance to the lowest polymorph of the same formula, the calculation gives 18 meV per atom. Its uncorrected energy is -97.4 eV/cell. Its formation enthalpy at 0 K is 258 meV per atom. Its space-group type is C2/m, No. 12. The magnetization comes out at 0.000 μB/atom.

Cell lengths 4.5660, 4.5660, 8.0729 Å; angles 108.63, 108.63, 32.67 degrees
Positions (direct):
C 0.4680 0.4680 0.8674
C 0.6949 0.6949 0.3560
C 0.8888 0.8888 0.0921
C 0.1384 0.1384 0.6856
C 0.8354 0.8354 0.5323
C 0.9446 0.9446 0.9496
C 0.9979 0.9979 0.5093
C 0.3653 0.3653 0.1743
B 0.5949 0.5949 0.7708
B 0.5223 0.5223 0.3827
B 0.3111 0.3111 0.6590
B 0.2384 0.2384 0.2709



(9)
The following is a PBE calculation of BiSb2Pb3Au6 after structural relaxation, from the Alexandria database.

The formation energy (no corrections) comes out at 0.01 eV/atom. Its uncorrected energy is -42.7 eV/cell. Its space-group type is P-3m1, No. 164. The magnetization comes out at 0.000 μB/atom.

Cell lengths 5.7818, 5.7818, 10.6466 Å; angles 90.00, 90.00, 120.00 degrees
Positions (direct):
Pb 0.3333 0.6667 0.5986
Pb 0.0000 0.0000 0.0000
Pb 0.6667 0.3333 0.4014
Au 0.8327 0.1673 0.7389
Au 0.1673 0.8327 0.2611
Au 0.8327 0.6654 0.7389
Au 0.1673 0.3346 0.2611
Au 0.6654 0.8327 0.2611
Au 0.3346 0.1673 0.7389
Bi 0.0000 0.0000 0.5000
Sb 0.6667 0.3333 0.9546
Sb 0.3333 0.6667 0.0454



(10)
The following is a PBE calculation of AcCd8AgHg2 after structural relaxation, from the Alexandria database.

Its uncorrected energy is -16.1 eV/cell. Its formation enthalpy at 0 K is -98 meV per atom. Its space-group type is C2/m, No. 12. The magnetization comes out at 0.000 μB/atom.

Cell lengths 5.2142, 5.2142, 12.3045 Å; angles 99.77, 99.77, 65.93 degrees
Positions (direct):
Cd 0.3266 0.3266 0.9589
Cd 0.2620 0.2620 0.3343
Cd 0.7380 0.7380 0.6657
Cd 0.1976 0.7042 0.1942
Cd 0.6734 0.6734 0.0411
Cd 0.7042 0.1976 0.1942
Cd 0.2958 0.8024 0.8058
Cd 0.8024 0.2958 0.8058
Ac 0.0000 0.0000 0.5000
Hg 0.6345 0.6345 0.3913
Hg 0.3655 0.3655 0.6087
Ag 0.0000 0.0000 0.0000



(11)
The following is a PBE calculation of Ca7SeBr12 after structural relaxation, from the Alexandria database.

The formation energy (no corrections) comes out at -2.02 eV/atom. Its uncorrected energy is -78.0 eV/cell. Its space-group type is R-3, No. 148. The magnetization comes out at 0.000 μB/atom.

Cell lengths 9.4370, 9.4370, 9.4370 Å; angles 107.29, 107.29, 107.29 degrees
Positions (direct):
Br 0.2118 0.0736 0.6874
Br 0.6291 0.5476 0.8403
Br 0.5476 0.8403 0.6291
Br 0.0736 0.6874 0.2118
Br 0.6874 0.2118 0.0736
Br 0.3709 0.4524 0.1597
Br 0.4524 0.1597 0.3709
Br 0.1597 0.3709 0.4524
Br 0.7882 0.9264 0.3126
Br 0.3126 0.7882 0.9264
Br 0.9264 0.3126 0.7882
Br 0.8403 0.6291 0.5476
Se 0.0000 0.0000 0.0000
Ca 0.6524 0.8769 0.9699
Ca 0.5000 0.5000 0.5000
Ca 0.0301 0.3476 0.1231
Ca 0.9699 0.6524 0.8769
Ca 0.3476 0.1231 0.0301
Ca 0.1231 0.0301 0.3476
Ca 0.8769 0.9699 0.6524



(12)
The following is a PBE calculation of Mn2GaSe4 after structural relaxation, from the Alexandria database.

The formation energy (no corrections) comes out at -0.48 eV/atom. Its uncorrected energy is -154.5 eV/cell. Its space-group type is C2/m, No. 12. The magnetization comes out at 1.237 μB/atom.

Cell lengths 7.6257, 7.6377, 13.2223 Å; angles 106.93, 90.00, 119.95 degrees
Positions (direct):
Se 0.1285 0.7571 0.8869
Se 0.3954 0.7584 0.6209
Se 0.6046 0.2416 0.3791
Se 0.1045 0.2416 0.8791
Se 0.8955 0.7584 0.1209
Se 0.3626 0.2252 0.1211
Se 0.8626 0.2252 0.6211
Se 0.6370 0.2416 0.8791
Se 0.1374 0.7748 0.3789
Se 0.8715 0.2429 0.1131
Se 0.6286 0.7571 0.3869
Se 0.6374 0.7748 0.8789
Se 0.3714 0.2429 0.6131
Se 0.1371 0.2416 0.3791
Se 0.8629 0.7584 0.6209
Se 0.3630 0.7584 0.1209
Mn 0.0000 0.0000 0.5000
Mn 0.5000 0.0000 0.5000
Mn 0.7499 0.0000 0.7500
Mn 0.0000 0.5000 0.0000
Mn 0.2501 0.0000 0.2500
Mn 0.5000 0.0000 0.0000
Mn 0.5000 0.5000 0.5000
Mn 0.0000 0.0000 0.0000
Ga 0.4376 0.3752 0.8125
Ga 0.9377 0.3752 0.3125
Ga 0.5624 0.6248 0.1875
Ga 0.0623 0.6248 0.6875



(13)
The following is a PBE calculation of Ho4PdAu2 after structural relaxation, from the Alexandria database.

Its uncorrected energy is -35.0 eV/cell. Its formation enthalpy at 0 K is -706 meV per atom. Its space-group type is R-3m, No. 166. The magnetization comes out at 0.000 μB/atom.

Cell lengths 4.9758, 4.9758, 8.6828 Å; angles 73.35, 73.35, 60.00 degrees
Positions (direct):
Ho 0.8763 0.8763 0.3712
Ho 0.3738 0.3738 0.8787
Ho 0.1237 0.1237 0.6288
Ho 0.6262 0.6262 0.1213
Au 0.2443 0.2443 0.2670
Au 0.7557 0.7557 0.7330
Pd 0.0000 0.0000 0.0000



(14)
The following is a PBE calculation of Y3MgCd4 after structural relaxation, from the Alexandria database.

Its uncorrected energy is -54.5 eV/cell. Its formation enthalpy at 0 K is -325 meV per atom. Its space-group type is P4/mmm, No. 123. The magnetization comes out at 0.026 μB/atom.

Cell lengths 5.1473, 7.5680, 10.2922 Å; angles 90.00, 90.00, 90.00 degrees
Positions (direct):
Mg 0.0000 0.5000 0.5000
Mg 0.0000 0.5000 0.0000
Y 0.0000 0.0000 0.5000
Y 0.4997 0.5000 0.2500
Y 0.4998 0.0000 0.2500
Y 0.0000 0.0000 0.0000
Y 0.5003 0.5000 0.7500
Y 0.5002 0.0000 0.7500
Cd 0.5000 0.2617 0.0000
Cd 0.5000 0.7383 0.0000
Cd 0.0003 0.2617 0.7500
Cd 0.9997 0.2617 0.2500
Cd 0.0003 0.7383 0.7500
Cd 0.9997 0.7383 0.2500
Cd 0.5000 0.7383 0.5000
Cd 0.5000 0.2617 0.5000



(15)
The following is a PBE calculation of CuNiH after structural relaxation, from the Alexandria database.

For the distance to the lowest polymorph of the same formula, the calculation gives 358 meV per atom. Its uncorrected energy is -12.2 eV/cell. Its space-group type is I4mm, No. 107. The magnetization comes out at 0.050 μB/atom.

Cell lengths 2.5418, 2.5418, 4.6949 Å; angles 105.71, 105.71, 90.00 degrees
Positions (direct):
H 0.5034 0.5034 0.0068
Ni 0.3142 0.3142 0.6284
Cu 0.0324 0.0324 0.0649



(16)
The following is a PBE calculation of La2PrHgRu after structural relaxation, from the Alexandria database.

Its uncorrected energy is -25.3 eV/cell. Its formation enthalpy at 0 K is -220 meV per atom. Its space-group type is P4mm, No. 99. The magnetization comes out at 0.000 μB/atom.

Cell lengths 5.4152, 5.4147, 5.6469 Å; angles 90.00, 90.00, 90.00 degrees
Positions (direct):
Ru 0.0000 0.0000 0.0051
Hg 0.5000 0.5000 0.5497
Pr 0.0000 0.0000 0.4936
La 0.5000 0.0000 0.9759
La 0.0000 0.5000 0.9757



(17)
The following is a PBE calculation of TaZnAg after structural relaxation, from the Alexandria database.

For the distance to the lowest polymorph of the same formula, the calculation gives 11 meV per atom. Its uncorrected energy is -31.3 eV/cell. Its formation enthalpy at 0 K is 110 meV per atom. Its space-group type is P4/nmm, No. 129. The magnetization comes out at 0.000 μB/atom.

Cell lengths 3.4112, 3.4112, 8.9194 Å; angles 90.00, 90.00, 90.00 degrees
Positions (direct):
Ag 0.5000 0.0000 0.0929
Ag 0.0000 0.5000 0.9071
Zn 0.5000 0.0000 0.7498
Zn 0.0000 0.5000 0.2502
Ta 0.5000 0.0000 0.4262
Ta 0.0000 0.5000 0.5738



(18)
The following is a PBE calculation of Ce5ErSb4 after structural relaxation, from the Alexandria database.

The formation energy (no corrections) comes out at -0.59 eV/atom. Its uncorrected energy is -56.6 eV/cell. Its space-group type is C2/m, No. 12. The magnetization comes out at 0.663 μB/atom.

Cell lengths 4.3315, 8.6615, 9.7397 Å; angles 104.04, 102.85, 90.00 degrees
Positions (direct):
Ce 0.1764 0.3521 0.3528
Ce 0.1642 0.8177 0.3284
Ce 0.8358 0.1823 0.6716
Ce 0.5000 0.5000 0.0000
Ce 0.8236 0.6479 0.6472
Sb 0.6663 0.0830 0.3327
Sb 0.9935 0.7516 0.9870
Sb 0.0065 0.2484 0.0130
Sb 0.3337 0.9170 0.6673
Er 0.5000 0.0000 0.0000



(19)
The following is a PBE calculation of ZrAl after structural relaxation, from the Alexandria database.

Its uncorrected energy is -92.8 eV/cell. Its formation enthalpy at 0 K is 344 meV per atom. Its space-group type is I4/mcm, No. 140. The magnetization comes out at 0.000 μB/atom.

Cell lengths 9.8920, 9.8920, 4.9633 Å; angles 90.00, 90.00, 90.00 degrees
Positions (direct):
Zr 0.8994 0.3994 0.0000
Zr 0.1006 0.3994 0.5000
Zr 0.6006 0.1006 0.5000
Zr 0.6006 0.8994 0.0000
Zr 0.3994 0.8994 0.5000
Zr 0.3994 0.1006 0.0000
Zr 0.8994 0.6006 0.5000
Zr 0.1006 0.6006 0.0000
Al 0.6959 0.1959 0.0000
Al 0.1959 0.6959 0.5000
Al 0.1959 0.3041 0.0000
Al 0.3041 0.1959 0.5000
Al 0.8041 0.6959 0.0000
Al 0.6959 0.8041 0.5000
Al 0.8041 0.3041 0.5000
Al 0.3041 0.8041 0.0000



(20)
The following is a PBE calculation of Li3Pa2MnS6 after structural relaxation, from the Alexandria database.

The formation energy (no corrections) comes out at -1.25 eV/atom. Its uncorrected energy is -73.6 eV/cell. Its space-group type is C2/m, No. 12. The magnetization comes out at 0.173 μB/atom.

Cell lengths 6.3003, 6.3003, 6.7263 Å; angles 98.93, 98.93, 120.50 degrees
Positions (direct):
Li 0.1632 0.8368 0.5000
Li 0.5000 0.5000 0.5000
Li 0.8368 0.1632 0.5000
Mn 0.0000 0.0000 0.0000
Pa 0.3285 0.6715 0.0000
Pa 0.6715 0.3285 0.0000
S 0.6177 0.9144 0.7483
S 0.7770 0.7770 0.2380
S 0.9144 0.6177 0.7483
S 0.3823 0.0856 0.2517
S 0.0856 0.3823 0.2517
S 0.2230 0.2230 0.7620